Record 1
VASP calculation (PBE) on crystalline Er2AgPd4 at its relaxed geometry.

abc: 5.458 5.449 9.527
angles: 90.00 108.85 90.00
Sites, in units of the cell vectors:
1 Er 0.679 0.750 0.986
2 Er 0.321 0.250 0.014
3 Er 0.280 0.250 0.406
4 Er 0.720 0.750 0.594
5 Ag 0.203 0.750 0.199
6 Ag 0.797 0.250 0.801
7 Pd 0.672 0.503 0.279
8 Pd 0.110 0.750 0.898
9 Pd 0.890 0.250 0.102
10 Pd 0.672 0.997 0.279
11 Pd 0.873 0.250 0.539
12 Pd 0.328 0.003 0.721
13 Pd 0.328 0.497 0.721
14 Pd 0.127 0.750 0.461

Values from the calculation:
total magnetic moment	0.000	μB per formula unit
excess energy over the best structure of this formula in the dataset	0	meV per atom
DFT formation energy	-0.680	eV per atom
uncorrected energy	-37.51	eV per formula unit

Record 2
VASP calculation (PBE) on crystalline Er2AgPd8 at its relaxed geometry.

abc: 4.208 6.521 7.573
angles: 106.79 106.13 90.00
Sites, in units of the cell vectors:
1 Er 0.784 0.334 0.567
2 Er 0.216 0.666 0.433
3 Ag 0.500 0.000 0.000
4 Pd 0.407 0.553 0.815
5 Pd 0.672 0.902 0.344
6 Pd 0.857 0.816 0.714
7 Pd 0.964 0.277 0.927
8 Pd 0.143 0.184 0.286
9 Pd 0.328 0.098 0.656
10 Pd 0.593 0.447 0.185
11 Pd 0.036 0.723 0.073

Values from the calculation:
total magnetic moment	0.000	μB per formula unit
DFT formation energy	-0.538	eV per atom
uncorrected energy	-59.44	eV per formula unit

Record 3
VASP calculation (PBE) on crystalline ErAg2Pd3 at its relaxed geometry.

abc: 3.907 4.231 12.757
angles: 90.00 90.00 90.00
Sites, in units of the cell vectors:
1 Er 0.000 0.500 0.500
2 Er 0.000 0.000 0.000
3 Ag 0.000 0.000 0.670
4 Ag 0.000 0.000 0.330
5 Ag 0.000 0.500 0.170
6 Ag 0.000 0.500 0.830
7 Pd 0.500 0.500 0.667
8 Pd 0.500 0.000 0.500
9 Pd 0.500 0.500 0.333
10 Pd 0.500 0.000 0.167
11 Pd 0.500 0.500 0.000
12 Pd 0.500 0.000 0.833

Values from the calculation:
total magnetic moment	0.000	μB per formula unit
DFT formation energy	-0.523	eV per atom
uncorrected energy	-28.98	eV per formula unit

Record 4
VASP calculation (PBE) on crystalline ErAgPd2 at its relaxed geometry.

abc: 3.902 4.294 4.294
angles: 90.00 90.00 90.00
Sites, in units of the cell vectors:
1 Pd 0.000 0.000 0.500
2 Pd 0.000 0.500 0.000
3 Ag 0.500 0.000 0.000
4 Er 0.500 0.500 0.500

Values from the calculation:
total magnetic moment	0.000	μB per formula unit
excess energy over the best structure of this formula in the dataset	0	meV per atom
DFT formation energy	-0.715	eV per atom
uncorrected energy	-20.66	eV per formula unit

Record 5
VASP calculation (PBE) on crystalline Er6AgPd12 at its relaxed geometry.

abc: 7.224 7.224 7.224
angles: 96.14 96.14 96.14
Sites, in units of the cell vectors:
1 Er 0.689 0.839 0.246
2 Er 0.754 0.311 0.161
3 Er 0.161 0.754 0.311
4 Er 0.311 0.161 0.754
5 Er 0.246 0.689 0.839
6 Er 0.839 0.246 0.689
7 Ag 0.000 0.000 0.000
8 Pd 0.787 0.545 0.495
9 Pd 0.495 0.787 0.545
10 Pd 0.545 0.495 0.787
11 Pd 0.213 0.455 0.505
12 Pd 0.505 0.213 0.455
13 Pd 0.455 0.505 0.213
14 Pd 0.046 0.116 0.370
15 Pd 0.884 0.630 0.954
16 Pd 0.630 0.954 0.884
17 Pd 0.954 0.884 0.630
18 Pd 0.116 0.370 0.046
19 Pd 0.370 0.046 0.116

Values from the calculation:
total magnetic moment	0.000	μB per formula unit
DFT formation energy	-0.725	eV per atom
uncorrected energy	-106.31	eV per formula unit

Record 6
VASP calculation (PBE) on crystalline Er4Ag2Pd at its relaxed geometry.

abc: 4.996 4.996 8.664
angles: 73.24 73.24 60.00
Sites, in units of the cell vectors:
1 Er 0.876 0.876 0.372
2 Er 0.124 0.124 0.628
3 Er 0.626 0.626 0.122
4 Er 0.374 0.374 0.878
5 Ag 0.752 0.752 0.743
6 Ag 0.248 0.248 0.257
7 Pd 0.000 0.000 0.000

Values from the calculation:
total magnetic moment	0.000	μB per formula unit
DFT formation energy	-0.346	eV per atom
uncorrected energy	-31.57	eV per formula unit

Record 7
VASP calculation (PBE) on crystalline ErAgPd4 at its relaxed geometry.

abc: 5.327 5.327 5.327
angles: 60.00 60.00 60.00
Sites, in units of the cell vectors:
1 Pd 0.625 0.625 0.125
2 Pd 0.625 0.125 0.625
3 Pd 0.625 0.625 0.625
4 Pd 0.125 0.625 0.625
5 Ag 0.000 0.000 0.000
6 Er 0.250 0.250 0.250

Values from the calculation:
total magnetic moment	0.000	μB per formula unit
excess energy over the best structure of this formula in the dataset	7	meV per atom
DFT formation energy	-0.524	eV per atom
uncorrected energy	-31.33	eV per formula unit

Record 8
VASP calculation (PBE) on crystalline ErAg2Pd8 at its relaxed geometry.

abc: 4.363 6.790 6.790
angles: 105.61 89.94 89.94
Sites, in units of the cell vectors:
1 Er 0.500 0.000 0.000
2 Ag 0.000 0.622 0.378
3 Ag 0.000 0.378 0.622
4 Pd 0.001 0.965 0.696
5 Pd 0.001 0.696 0.965
6 Pd 0.500 0.668 0.668
7 Pd 0.500 0.247 0.753
8 Pd 0.500 0.753 0.247
9 Pd 0.500 0.332 0.332
10 Pd 0.999 0.304 0.035
11 Pd 0.999 0.035 0.304

Values from the calculation:
total magnetic moment	0.000	μB per formula unit
excess energy over the best structure of this formula in the dataset	211	meV per atom
DFT formation energy	-0.127	eV per atom
uncorrected energy	-53.21	eV per formula unit

Record 9
VASP calculation (PBE) on crystalline ErAgPd at its relaxed geometry.

abc: 3.639 3.639 5.234
angles: 110.35 110.35 90.00
Sites, in units of the cell vectors:
1 Ag 0.619 0.619 0.239
2 Pd 0.288 0.288 0.576
3 Er 0.943 0.943 0.885

Values from the calculation:
total magnetic moment	0.000	μB per formula unit
excess energy over the best structure of this formula in the dataset	26	meV per atom
DFT formation energy	-0.603	eV per atom
uncorrected energy	-14.42	eV per formula unit

Record 10
VASP calculation (PBE) on crystalline ErAgPd at its relaxed geometry.

abc: 3.647 4.552 7.442
angles: 90.00 104.18 90.00
Sites, in units of the cell vectors:
1 Er 0.909 0.750 0.818
2 Er 0.091 0.250 0.182
3 Ag 0.764 0.250 0.529
4 Ag 0.236 0.750 0.471
5 Pd 0.429 0.250 0.858
6 Pd 0.571 0.750 0.142

Values from the calculation:
total magnetic moment	0.000	μB per formula unit
excess energy over the best structure of this formula in the dataset	8	meV per atom
DFT formation energy	-0.621	eV per atom
uncorrected energy	-14.47	eV per formula unit

Record 11
VASP calculation (PBE) on crystalline Er3AgPd2 at its relaxed geometry.

abc: 4.972 4.972 12.205
angles: 90.00 90.00 120.00
Sites, in units of the cell vectors:
1 Er 0.333 0.667 0.417
2 Er 0.667 0.333 0.078
3 Er 0.000 0.000 0.757
4 Er 0.000 0.000 0.243
5 Er 0.333 0.667 0.922
6 Er 0.667 0.333 0.583
7 Ag 0.333 0.667 0.670
8 Ag 0.667 0.333 0.330
9 Pd 0.000 0.000 0.500
10 Pd 0.333 0.667 0.170
11 Pd 0.667 0.333 0.830
12 Pd 0.000 0.000 0.000

Values from the calculation:
total magnetic moment	0.000	μB per formula unit
excess energy over the best structure of this formula in the dataset	6	meV per atom
DFT formation energy	-0.718	eV per atom
uncorrected energy	-31.24	eV per formula unit

Record 12
VASP calculation (PBE) on crystalline ErAgPd5 at its relaxed geometry.

abc: 9.372 5.138 5.981
angles: 115.44 141.59 90.00
Sites, in units of the cell vectors:
1 Er 0.849 0.500 0.000
2 Ag 0.639 0.000 0.000
3 Pd 0.338 0.244 0.488
4 Pd 0.121 0.500 0.000
5 Pd 0.849 0.756 0.512
6 Pd 0.367 0.752 0.000
7 Pd 0.367 0.248 0.000

Values from the calculation:
total magnetic moment	0.000	μB per formula unit
DFT formation energy	-0.278	eV per atom
uncorrected energy	-35.32	eV per formula unit

Record 13
VASP calculation (PBE) on crystalline Er3Ag3Pd2 at its relaxed geometry.

abc: 3.620 7.436 7.436
angles: 120.00 90.00 90.00
Sites, in units of the cell vectors:
1 Er 0.500 0.410 0.410
2 Er 0.500 0.590 0.000
3 Er 0.500 0.000 0.590
4 Ag 0.000 0.771 0.771
5 Ag 0.000 0.229 0.000
6 Ag 0.000 0.000 0.229
7 Pd 0.000 0.333 0.667
8 Pd 0.000 0.667 0.333

Values from the calculation:
total magnetic moment	0.000	μB per formula unit
DFT formation energy	-0.594	eV per atom
uncorrected energy	-37.38	eV per formula unit

Record 14
VASP calculation (PBE) on crystalline ErAg7Pd4 at its relaxed geometry.

abc: 5.101 8.779 5.957
angles: 82.21 64.65 73.11
Sites, in units of the cell vectors:
1 Er 0.000 0.000 0.000
2 Ag 0.788 0.909 0.515
3 Ag 0.212 0.091 0.485
4 Ag 0.045 0.621 0.289
5 Ag 0.955 0.379 0.711
6 Ag 0.341 0.559 0.759
7 Ag 0.500 0.000 0.000
8 Ag 0.659 0.441 0.241
9 Pd 0.575 0.224 0.625
10 Pd 0.425 0.776 0.375
11 Pd 0.713 0.686 0.887
12 Pd 0.287 0.314 0.113

Values from the calculation:
total magnetic moment	0.000	μB per formula unit
DFT formation energy	0.096	eV per atom
uncorrected energy	-44.14	eV per formula unit

Record 15
VASP calculation (PBE) on crystalline Er3Ag2Pd2 at its relaxed geometry.

abc: 3.976 3.636 10.876
angles: 90.00 79.47 90.00
Sites, in units of the cell vectors:
1 Er 0.833 0.000 0.334
2 Er 0.000 0.000 0.000
3 Er 0.167 0.000 0.666
4 Ag 0.573 0.500 0.853
5 Ag 0.427 0.500 0.147
6 Pd 0.707 0.500 0.587
7 Pd 0.293 0.500 0.413

Values from the calculation:
total magnetic moment	0.000	μB per formula unit
DFT formation energy	-0.586	eV per atom
uncorrected energy	-33.88	eV per formula unit

Record 16
VASP calculation (PBE) on crystalline ErAg3Pd7 at its relaxed geometry.

abc: 5.145 7.100 7.100
angles: 81.96 117.18 117.18
Sites, in units of the cell vectors:
1 Er 0.500 0.500 0.500
2 Ag 0.000 0.792 0.208
3 Ag 0.500 0.000 0.000
4 Ag 0.000 0.208 0.792
5 Pd 0.391 0.217 0.217
6 Pd 0.321 0.060 0.579
7 Pd 0.679 0.421 0.940
8 Pd 0.321 0.579 0.060
9 Pd 0.000 0.500 0.500
10 Pd 0.679 0.940 0.421
11 Pd 0.609 0.783 0.783

Values from the calculation:
total magnetic moment	0.000	μB per formula unit
DFT formation energy	-0.049	eV per atom
uncorrected energy	-50.00	eV per formula unit

Record 17
VASP calculation (PBE) on crystalline ErAgPd2 at its relaxed geometry.

abc: 4.710 4.710 4.710
angles: 60.00 60.00 60.00
Sites, in units of the cell vectors:
1 Pd 0.250 0.250 0.250
2 Pd 0.750 0.750 0.750
3 Ag 0.500 0.500 0.500
4 Er 0.000 0.000 0.000

Values from the calculation:
total magnetic moment	0.000	μB per formula unit
excess energy over the best structure of this formula in the dataset	72	meV per atom
DFT formation energy	-0.644	eV per atom
uncorrected energy	-20.37	eV per formula unit

Record 18
VASP calculation (PBE) on crystalline Er3AgPd2 at its relaxed geometry.

abc: 3.527 3.527 10.534
angles: 90.00 90.00 90.00
Sites, in units of the cell vectors:
1 Er 0.000 0.000 0.000
2 Er 0.000 0.000 0.677
3 Er 0.000 0.000 0.323
4 Ag 0.500 0.500 0.500
5 Pd 0.500 0.500 0.837
6 Pd 0.500 0.500 0.163

Values from the calculation:
total magnetic moment	0.000	μB per formula unit
excess energy over the best structure of this formula in the dataset	0	meV per atom
DFT formation energy	-0.724	eV per atom
uncorrected energy	-31.27	eV per formula unit

Record 19
VASP calculation (PBE) on crystalline ErAgPd at its relaxed geometry.

abc: 4.956 4.956 5.692
angles: 90.00 90.00 120.02
Sites, in units of the cell vectors:
1 Er 0.333 0.167 0.750
2 Er 0.667 0.833 0.250
3 Ag 0.000 0.500 0.000
4 Ag 0.000 0.500 0.500
5 Pd 0.667 0.833 0.750
6 Pd 0.333 0.167 0.250

Values from the calculation:
total magnetic moment	0.000	μB per formula unit
excess energy over the best structure of this formula in the dataset	0	meV per atom
DFT formation energy	-0.629	eV per atom
uncorrected energy	-14.49	eV per formula unit

Record 20
VASP calculation (PBE) on crystalline Er3AgPd6 at its relaxed geometry.

abc: 5.071 8.961 8.961
angles: 106.76 90.00 90.00
Sites, in units of the cell vectors:
1 Er 0.466 0.918 0.711
2 Er 0.966 0.711 0.918
3 Er 0.106 0.376 0.624
4 Er 0.606 0.624 0.376
5 Er 0.966 0.082 0.289
6 Er 0.466 0.289 0.082
7 Ag 0.074 0.172 0.828
8 Ag 0.574 0.828 0.172
9 Pd 0.086 0.683 0.584
10 Pd 0.586 0.584 0.683
11 Pd 0.416 0.543 0.960
12 Pd 0.916 0.960 0.543
13 Pd 0.274 0.981 0.019
14 Pd 0.596 0.266 0.734
15 Pd 0.096 0.734 0.266
16 Pd 0.774 0.019 0.981
17 Pd 0.416 0.040 0.457
18 Pd 0.916 0.457 0.040
19 Pd 0.086 0.416 0.317
20 Pd 0.586 0.317 0.416

Values from the calculation:
total magnetic moment	0.000	μB per formula unit
DFT formation energy	-0.648	eV per atom
uncorrected energy	-54.18	eV per formula unit

Record 21
VASP calculation (PBE) on crystalline ErAg5Pd2 at its relaxed geometry.

abc: 4.144 5.911 11.815
angles: 90.00 90.00 90.00
Sites, in units of the cell vectors:
1 Er 0.000 0.000 0.500
2 Er 0.000 0.500 0.000
3 Ag 0.000 0.000 0.000
4 Ag 0.000 0.500 0.500
5 Ag 0.000 0.480 0.748
6 Ag 0.000 0.520 0.252
7 Ag 0.000 0.020 0.248
8 Ag 0.000 0.980 0.752
9 Ag 0.500 0.228 0.868
10 Ag 0.500 0.772 0.132
11 Ag 0.500 0.272 0.368
12 Ag 0.500 0.728 0.632
13 Pd 0.500 0.236 0.621
14 Pd 0.500 0.764 0.379
15 Pd 0.500 0.264 0.121
16 Pd 0.500 0.736 0.879

Values from the calculation:
total magnetic moment	0.000	μB per formula unit
DFT formation energy	-0.266	eV per atom
uncorrected energy	-31.33	eV per formula unit

Record 22
VASP calculation (PBE) on crystalline Er4AgPd3 at its relaxed geometry.

abc: 4.934 7.096 9.868
angles: 90.00 90.00 90.00
Sites, in units of the cell vectors:
1 Pd 0.000 0.000 0.000
2 Pd 0.000 0.000 0.500
3 Pd 0.500 0.000 0.750
4 Pd 0.500 0.000 0.250
5 Pd 0.501 0.500 0.750
6 Pd 0.499 0.500 0.250
7 Ag 0.000 0.500 0.000
8 Ag 0.000 0.500 0.500
9 Er 0.500 0.757 0.000
10 Er 0.500 0.757 0.500
11 Er 0.500 0.243 0.000
12 Er 0.500 0.243 0.500
13 Er 0.000 0.757 0.750
14 Er 0.000 0.757 0.250
15 Er 0.000 0.243 0.250
16 Er 0.000 0.243 0.750

Values from the calculation:
total magnetic moment	0.000	μB per formula unit
DFT formation energy	-0.766	eV per atom
uncorrected energy	-42.81	eV per formula unit